[1]
A plane-wave DFT calculation with meta-GGA SCAN was carried out for a crystal of SrZrPt2 relaxed with PBEsol.

Cell lengths 3.3928, 3.3928, 7.3605 Å; angles 90.00, 90.00, 90.00 degrees
Space group P4/mmm (No. 123)
Symmetry-distinct sites (fractional):
Sr 0.0000 0.0000 0.0000 x1
Zr 0.0000 0.0000 0.5000 x1
Pt 0.5000 0.5000 0.3049 x2

Calculated values
Energy of formation: -1.10 eV/atom

[2]
A plane-wave DFT calculation with meta-GGA SCAN was carried out for a crystal of NaFeN2 relaxed with PBEsol.

Cell lengths 5.0148, 5.0148, 7.8402 Å; angles 90.00, 90.00, 90.00 degrees
Space group I-42d (No. 122)
Symmetry-distinct sites (fractional):
Na 0.0000 0.0000 0.0000 x4
Fe 0.0000 0.0000 0.5000 x4
N 0.1327 0.2500 0.6250 x8

Calculated values
Uncorrected energy: -10.309 eV per atom

[3]
A plane-wave DFT calculation with meta-GGA SCAN was carried out for a crystal of TlAsF2 relaxed with PBEsol.

Cell lengths 6.3088, 6.3088, 6.3088 Å; angles 90.00, 90.00, 90.00 degrees
Space group Fm-3m (No. 225)
Symmetry-distinct sites (fractional):
Tl 0.0000 0.0000 0.0000 x4
As 0.0000 0.0000 0.5000 x4
F 0.2500 0.2500 0.2500 x8

Calculated values
Uncorrected energy: -25.611 eV per atom

Number 1: spin magnetization 0.00 μB per formula unit. Number 2: spin magnetization 0.00 μB per formula unit. Number 3: spin magnetization 1.60 μB per formula unit.